GGA+U Cs2V2PbO7, relaxed; crystal system = trigonal; SG = R-3m; E = -77.50 eV per cell
1.0
-4.869 2.322 3.545
-3.517 -3.989 3.659
1.971 0.570 8.210
Cs O V Pb
2 7 2 1
Direct
0.248 0.248 0.256
0.752 0.752 0.744
0.813 0.249 0.688
0.250 0.813 0.688
0.750 0.751 0.312
0.187 0.750 0.312
0.751 0.187 0.312
0.249 0.250 0.688
0.000 0.000 0.000
0.080 0.080 0.761
0.920 0.920 0.239
0.500 0.500 0.500